1.
{
  "formula": "NaReSi",
  "functional": "PBE",
  "state": "optimized geometry",
  "cell": [[-2.682, -1.158, 3.039], [-3.779, -1.572, -1.011], [-0.824, -4.084, 0.640]],
  "species": ["Re", "Si", "Na"],
  "frac_coords": [[0.750, 0.750, 0.750], [0.000, 0.000, 0.000], [0.250, 0.250, 0.250]],
  "polymorph_energy_mev_per_atom": 0.0,
  "total_magnetization_mub_per_fu": 1.092,
  "space_group": "F-43m (216)"
}

***

2.
{
  "formula": "ZnHgI4",
  "functional": "PBE",
  "state": "optimized geometry",
  "cell": [[-3.437, -2.174, 1.528], [2.389, -3.623, 0.219], [3.584, 3.119, 12.504]],
  "species": ["I", "I", "I", "Hg", "I", "Zn"],
  "frac_coords": [[0.000, 0.500, 0.138], [0.500, 0.000, 0.862], [0.500, 0.000, 0.382], [0.000, 0.000, 0.000], [0.000, 0.500, 0.618], [0.500, 0.500, 0.500]],
  "final_energy_ev_per_fu": -10.4,
  "space_group": "P-4m2 (115)"
}